Entry 1:
Cr4OsN | PBE | optimized geometry

abc: 6.4619 8.6550 4.9018
angles: 90.00 100.15 90.00
Closest atoms and distances in Å follow each position.
Space group C2/c (No. 15)
Asymmetric unit:
Cr: 0.1089 0.1525 0.0930 x8  2 N 1.95-2.04
Cr: 0.2262 0.3692 0.3367 x8  1 N 2.03
Os: 0.0000 0.3864 0.7500 x4  8 Cr 2.53-2.70
N: 0.0000 0.0442 0.7500 x4  6 Cr 1.95-2.04

Results
Total energy   -9.654 eV per atom
Uncorrected formation energy   0.0211 eV/atom
Volume   269.9 Å³ per cell
DOS at the Fermi energy   17.94 states/eV/cell
Total magnetic moment   0.0 μB/f.u.

Entry 2:
CrOsN2 | PBE | optimized geometry

abc: 5.2302 5.2302 5.2302
angles: 90.00 90.00 90.00
Closest atoms and distances in Å follow each position.
Space group Fm-3m (No. 225)
Asymmetric unit:
Cr: 0.0000 0.0000 0.0000 x4  8 N 2.26
Os: 0.0000 0.0000 0.5000 x4  8 N 2.26
N: 0.2500 0.2500 0.2500 x8  4 Cr 2.26, 4 Os 2.26

Results
Total energy   -8.463 eV per atom
Uncorrected formation energy   0.9133 eV/atom
Volume   143.1 Å³ per cell
DOS at the Fermi energy   15.24 states/eV/cell
Polymorph energy (0 for the lowest one)   830 meV per atom
Total magnetic moment   0.0 μB/f.u.

Entry 3:
CrOsN2 | PBE | optimized geometry

abc: 2.6929 2.6929 19.1697
angles: 90.00 90.00 120.00
Closest atoms and distances in Å follow each position.
Space group R-3m (No. 166, hexagonal axes)
Asymmetric unit:
Cr: 0.0000 0.0000 0.0000 x3  6 N 1.97
Os: 0.0000 0.0000 0.5000 x3  2 N 1.98
N: 0.0000 0.0000 0.3968 x6  3 Cr 1.97, 1 Os 1.98

Results
Total energy   -9.255 eV per atom
Uncorrected formation energy   0.1207 eV/atom
Volume   120.4 Å³ per cell
DOS at the Fermi energy   12.78 states/eV/cell
Polymorph energy (0 for the lowest one)   37 meV per atom
Total magnetic moment   0.0 μB/f.u.